(1)
Here is a relaxed structure of ZrCr2As from Alexandria via LeMat-Bulk. Energies are from PBE.

E_tot, eV per atom: -7.80
Energy of formation from the pure elements, eV/atom: 0.31

Unit cell a=3.2154 b=3.2154 c=22.7426 alpha=90.00 beta=90.00 gamma=120.00
Space group R-3m (No. 166, hexagonal axes)
Inequivalent atoms, fractional coordinates:
Zr 0.0000 0.0000 0.0000
Cr 0.0000 0.0000 0.2378
As 0.0000 0.0000 0.5000


(2)
Here is a relaxed structure of BPdSe2 from Alexandria via LeMat-Bulk. Energies are from PBE.

E_tot, eV per atom: -4.36
Raw formation energy, kJ/mol of atoms: 34
Polymorph energy (0 for the lowest one), meV per atom: 396

Unit cell a=3.2404 b=3.2404 c=22.1269 alpha=90.00 beta=90.00 gamma=120.00
Space group R-3m (No. 166, hexagonal axes)
Inequivalent atoms, fractional coordinates:
B 0.0000 0.0000 0.0000
Pd 0.0000 0.0000 0.5000
Se 0.0000 0.0000 0.3913


(3)
Here is a relaxed structure of Pm3Co4Ni2 from Alexandria via LeMat-Bulk. Energies are from PBE.

E_tot, eV per atom: -6.19
Energy of formation from the pure elements, eV/atom: -0.16

Unit cell a=3.9381 b=3.9381 c=24.4112 alpha=90.00 beta=90.00 gamma=120.00
Space group P-6m2 (No. 187)
Inequivalent atoms, fractional coordinates:
Pm 0.0000 0.0000 0.0832
Pm 0.0000 0.0000 0.2516
Pm 0.0000 0.0000 0.4147
Co 0.3333 0.6667 0.1659
Co 0.3333 0.6667 0.3330
Co 0.3333 0.6667 0.5000
Co 0.6667 0.3333 0.1660
Co 0.6667 0.3333 0.5000
Ni 0.3333 0.6667 0.0000
Ni 0.6667 0.3333 0.0000
Ni 0.6667 0.3333 0.3330


(4)
Here is a relaxed structure of CsAgH2Br4 from Alexandria via LeMat-Bulk. Energies are from PBE.

E_tot, eV per atom: -2.81

Unit cell a=6.225 b=8.660 c=9.494 alpha=90.00 beta=90.00 gamma=90.00
Space group I222 (No. 23)
Inequivalent atoms, fractional coordinates:
Cs 0.000 0.000 0.000
Ag 0.000 0.000 0.500
H 0.000 0.500 0.171
Br 0.205 0.367 0.821


(5)
Here is a relaxed structure of DyErFeCu from Alexandria via LeMat-Bulk. Energies are from PBE.

E_tot, eV per atom: -5.47
Energy of formation from the pure elements, eV/atom: -0.04

Unit cell a=6.742 b=6.742 c=6.742 alpha=90.00 beta=90.00 gamma=90.00
Space group F-43m (No. 216)
Inequivalent atoms, fractional coordinates:
Dy 0.000 0.000 0.000
Er 0.000 0.000 0.500
Fe 0.250 0.250 0.250
Cu 0.250 0.250 0.750


(6)
Here is a relaxed structure of RbMgSe2Br from Alexandria via LeMat-Bulk. Energies are from PBE.

E_tot, eV per atom: -1.78
Raw formation energy, kJ/mol of atoms: 45
Polymorph energy (0 for the lowest one), meV per atom: 1253

Unit cell a=5.803 b=5.803 c=6.036 alpha=90.00 beta=90.00 gamma=90.00
Space group P4/mmm (No. 123)
Inequivalent atoms, fractional coordinates:
Rb 0.000 0.000 0.000
Mg 0.500 0.500 0.500
Se 0.000 0.500 0.000
Br 0.000 0.000 0.500


(7)
Here is a relaxed structure of Hg2P2PbO7 from Alexandria via LeMat-Bulk. Energies are from PBE.

E_tot, eV per atom: -5.65
Raw formation energy, kJ/mol of atoms: -144

Unit cell a=5.5336 b=5.5336 c=21.8292 alpha=90.00 beta=90.00 gamma=120.00
Space group R32 (No. 155, hexagonal axes)
Inequivalent atoms, fractional coordinates:
Hg 0.0000 0.0000 0.1925
P 0.0000 0.0000 0.4259
Pb 0.0000 0.0000 0.0000
O 0.0000 0.0000 0.5000
O 0.0016 0.2683 0.5931


(8)
Here is a relaxed structure of LiMn4Al from Alexandria via LeMat-Bulk. Energies are from PBE.

E_tot, eV per atom: -6.90
Energy of formation from the pure elements, eV/atom: 0.16

Unit cell a=6.623 b=6.623 c=6.623 alpha=90.00 beta=90.00 gamma=90.00
Space group F-43m (No. 216)
Inequivalent atoms, fractional coordinates:
Li 0.000 0.000 0.000
Mn 0.125 0.125 0.625
Al 0.250 0.250 0.250